P.
Density functional theory data (PBE) for crystalline Nd3SmN3 at its relaxed geometry.

The structure in CIF format:
```
data_Nd3SmN3
_chemical_formula_sum 'Nd6 Sm2 N6'
_cell_length_a 6.362
_cell_length_b 6.362
_cell_length_c 9.823
_cell_angle_alpha 71.11
_cell_angle_beta 71.11
_cell_angle_gamma 60.00
_space_group_name_H-M_alt 'P 1'
_space_group_IT_number 1
_space_group_name_Hall 'P 1'
loop_
_atom_site_label
_atom_site_type_symbol
_atom_site_fract_x
_atom_site_fract_y
_atom_site_fract_z
_atom_site_occupancy
Nd1 Nd 0.413 0.786 0.701 1
Nd2 Nd 0.786 0.100 0.701 1
Nd3 Nd 0.100 0.413 0.701 1
Nd4 Nd 0.900 0.587 0.299 1
Nd5 Nd 0.214 0.900 0.299 1
Nd6 Nd 0.587 0.214 0.299 1
Sm1 Sm 0.333 0.333 0.000 1
Sm2 Sm 0.667 0.667 0.000 1
N1 N 0.312 0.570 0.176 1
N2 N 0.942 0.312 0.176 1
N3 N 0.570 0.942 0.176 1
N4 N 0.430 0.058 0.824 1
N5 N 0.058 0.688 0.824 1
N6 N 0.688 0.430 0.824 1
```

Computed properties:
Crystal system   trigonal
DOS(E_F)   0.522 states/eV per atom
Size of the total moment   0.37 μB per formula unit


Q.
Density functional theory data (PBE) for crystalline Nd3SmN3 at its relaxed geometry.

The structure in CIF format:
```
data_Nd3SmN3
_chemical_formula_sum 'Nd3 Sm1 N3'
_cell_length_a 5.129
_cell_length_b 5.129
_cell_length_c 5.129
_cell_angle_alpha 90.00
_cell_angle_beta 90.00
_cell_angle_gamma 90.00
_space_group_name_H-M_alt 'P 1'
_space_group_IT_number 1
_space_group_name_Hall 'P 1'
loop_
_atom_site_label
_atom_site_type_symbol
_atom_site_fract_x
_atom_site_fract_y
_atom_site_fract_z
_atom_site_occupancy
Nd1 Nd 0.543 0.543 0.043 1
Nd2 Nd 0.543 0.043 0.543 1
Nd3 Nd 0.043 0.543 0.543 1
Sm1 Sm 0.043 0.043 0.043 1
N1 N 0.543 0.043 0.043 1
N2 N 0.043 0.043 0.543 1
N3 N 0.043 0.543 0.043 1
```

Computed properties:
Crystal system   cubic
DOS(E_F)   0.452 states/eV per atom
Size of the total moment   0.00 μB per formula unit


It is Q that is the most stable of them.